Below is a relaxed structure of ZrTe2Ir, with properties calculated at the PBE-GGA level.

Unit cell a=4.0987 b=3.3397 c=7.8888 alpha=77.80 beta=90.00 gamma=90.00
Closest atoms and distances in Å follow each position.
Positions (direct):
Ir 0.5000 0.9695 0.6862  3 Te 2.69-2.70, 4 Zr 2.81
Zr 0.0000 0.5313 0.5620  4 Ir 2.81
Te 0.0000 0.8557 0.9139  2 Ir 2.70
Te 0.5000 0.1434 0.3379  1 Ir 2.69

Calculated values
Polymorph energy (0 for the lowest one) (meV per atom): 118.4
Space-group type: Amm2
D(E_F) (states/eV per cell): 1.505

=====

Below is a relaxed structure of TmZnGa, with properties calculated at the PBE-GGA level.

Unit cell a=3.6057 b=4.6562 c=8.2306 alpha=90.00 beta=102.65 gamma=90.00
Closest atoms and distances in Å follow each position.
Positions (direct):
Zn 0.4692 0.7500 0.9384  2 Zn 2.53, 2 Ga 2.63
Tm 0.3322 0.2500 0.6643  5 Ga 2.93-2.96, 3 Zn 3.19-3.20
Zn 0.5308 0.2500 0.0616  2 Zn 2.53, 2 Ga 2.63
Tm 0.6678 0.7500 0.3357  5 Ga 2.93-2.96, 3 Zn 3.19-3.20
Ga 0.1498 0.2500 0.2996  2 Zn 2.63, 1 Tm 2.93
Ga 0.8502 0.7500 0.7004  2 Zn 2.63, 1 Tm 2.93

Calculated values
Energy of formation (eV per atom): -0.2186
Space-group type: Cmcm
D(E_F) (states/eV per cell): 3.455

=====

Below is a relaxed structure of Ce2ErOs, with properties calculated at the PBE-GGA level.

Unit cell a=3.7998 b=5.9286 c=9.5799 alpha=90.00 beta=90.00 gamma=108.68
Closest atoms and distances in Å follow each position.
Positions (direct):
Ce 0.3598 0.7196 0.5599  2 Os 2.76
Er 0.0775 0.1543 0.7500  3 Os 3.03-3.26
Ce 0.6402 0.2804 0.4401  2 Os 2.76
Ce 0.3598 0.7196 0.9401  2 Os 2.76
Ce 0.6402 0.2804 0.0599  2 Os 2.76
Os 0.7874 0.5743 0.7500  4 Ce 2.76, 2 Er 3.03
Os 0.2126 0.4257 0.2500  4 Ce 2.76, 2 Er 3.03
Er 0.9225 0.8457 0.2500  3 Os 3.03-3.26

Calculated values
Polymorph energy (0 for the lowest one) (meV per atom): 0.0
Energy of formation (eV per atom): -0.1515
Space-group type: Cmcm
D(E_F) (states/eV per cell): 14.818

=====

Below is a relaxed structure of Ac2La3Y6Tm, with properties calculated at the PBE-GGA level.

Unit cell a=6.3894 b=6.3894 c=12.0326 alpha=95.08 beta=95.08 gamma=120.00
Closest atoms and distances in Å follow each position.
Positions (direct):
Y 0.0836 0.4136 0.2516  3 La 3.62-3.64, 1 Tm 3.65, 6 Y 3.65-3.71, 2 Ac 3.67
Ac 0.6664 0.3336 0.0000  6 Y 3.67, 3 Ac 3.68-3.69, 3 Tm 3.69
Tm 0.0000 0.0000 0.0000  6 Y 3.65-3.66, 6 Ac 3.69
Ac 0.3336 0.6664 0.0000  6 Y 3.67, 3 Ac 3.68-3.69, 3 Tm 3.69
Y 0.7536 0.7536 0.2520  3 La 3.63-3.64, 6 Y 3.65-3.71, 1 Tm 3.66, 2 Ac 3.67
Y 0.5864 0.9164 0.7484  3 La 3.62-3.64, 1 Tm 3.65, 6 Y 3.65-3.71, 2 Ac 3.67
Y 0.4136 0.0836 0.2516  3 La 3.62-3.64, 1 Tm 3.65, 6 Y 3.65-3.71, 2 Ac 3.67
Y 0.9164 0.5864 0.7484  3 La 3.62-3.64, 1 Tm 3.65, 6 Y 3.65-3.71, 2 Ac 3.67
Y 0.2464 0.2464 0.7480  3 La 3.63-3.64, 6 Y 3.65-3.71, 1 Tm 3.66, 2 Ac 3.67
La 0.5000 0.5000 0.5000  6 Y 3.63-3.64, 6 La 3.68-3.69
La 0.1672 0.8328 0.5000  6 Y 3.62-3.64, 6 La 3.68-3.70
La 0.8328 0.1672 0.5000  6 Y 3.62-3.64, 6 La 3.68-3.70

Calculated values
Energy of formation (eV per atom): 0.0242
Space-group type: C2/m
D(E_F) (states/eV per cell): 13.756

=====

Below is a relaxed structure of ThPaSb2, with properties calculated at the PBE-GGA level.

Unit cell a=5.3631 b=5.3631 c=5.3631 alpha=60.00 beta=60.00 gamma=60.00
Closest atoms and distances in Å follow each position.
Positions (direct):
Th 0.0000 0.0000 0.0000  8 Sb 3.28
Sb 0.7500 0.7500 0.7500  4 Pa 3.28, 4 Th 3.28
Sb 0.2500 0.2500 0.2500  4 Th 3.28, 4 Pa 3.28
Pa 0.5000 0.5000 0.5000  8 Sb 3.28

Calculated values
Polymorph energy (0 for the lowest one) (meV per atom): 47.3
Space-group type: Fm-3m
D(E_F) (states/eV per cell): 5.146

=====

Below is a relaxed structure of AsHW2, with properties calculated at the PBE-GGA level.

Unit cell a=4.2182 b=4.2182 c=4.2182 alpha=60.00 beta=60.00 gamma=60.00
Closest atoms and distances in Å follow each position.
Positions (direct):
H 0.0000 0.0000 0.0000  8 W 2.58
As 0.5000 0.5000 0.5000  8 W 2.58
W 0.2500 0.2500 0.2500  4 H 2.58, 4 As 2.58
W 0.7500 0.7500 0.7500  4 As 2.58, 4 H 2.58

Calculated values
Polymorph energy (0 for the lowest one) (meV per atom): 168.1
Space-group type: Fm-3m
D(E_F) (states/eV per cell): 2.603

=====

Q: The lowest D(E_F) belongs to which entry?
A: ZrTe2Ir

=====

Please write out number 2 again, unchanged.
Below is a relaxed structure of TmZnGa, with properties calculated at the PBE-GGA level.

Unit cell a=3.6057 b=4.6562 c=8.2306 alpha=90.00 beta=102.65 gamma=90.00
Closest atoms and distances in Å follow each position.
Positions (direct):
Zn 0.4692 0.7500 0.9384  2 Zn 2.53, 2 Ga 2.63
Tm 0.3322 0.2500 0.6643  5 Ga 2.93-2.96, 3 Zn 3.19-3.20
Zn 0.5308 0.2500 0.0616  2 Zn 2.53, 2 Ga 2.63
Tm 0.6678 0.7500 0.3357  5 Ga 2.93-2.96, 3 Zn 3.19-3.20
Ga 0.1498 0.2500 0.2996  2 Zn 2.63, 1 Tm 2.93
Ga 0.8502 0.7500 0.7004  2 Zn 2.63, 1 Tm 2.93

Calculated values
Energy of formation (eV per atom): -0.2186
Space-group type: Cmcm
D(E_F) (states/eV per cell): 3.455

=====

Q: The highest D(E_F) belongs to which entry?
A: Ce2ErOs